PBE with a Hubbard U Mg2Ta2NiO8, optimized geometry; magnetic moment = 3.922 μB per cell; final energy = -102.4 eV per formula unit
1.0
9.487 -2.988 0.000
9.487 2.988 0.000
-0.003 0.000 5.186
Mg Ta Ni O
4 4 2 16
direct
0.084 0.371 0.245
0.371 0.084 0.745
0.629 0.916 0.255
0.916 0.629 0.755
0.220 0.551 0.256
0.449 0.780 0.244
0.551 0.220 0.756
0.780 0.449 0.744
0.142 0.858 0.750
0.858 0.142 0.250
0.045 0.336 0.881
0.065 0.819 0.414
0.181 0.935 0.086
0.212 0.417 0.544
0.317 0.543 0.918
0.336 0.045 0.381
0.417 0.212 0.044
0.457 0.683 0.582
0.543 0.317 0.418
0.583 0.788 0.956
0.664 0.955 0.619
0.683 0.457 0.082
0.788 0.583 0.456
0.819 0.065 0.914
0.935 0.181 0.586
0.955 0.664 0.119